Record 1
Density functional theory data (PBE) for TlTeOs2 after structural relaxation.

**ΔE_f (raw)**: 984 meV per atom
**Spin magnetization**: 0.0 μB per formula unit
**E_tot**: -6.008 eV per atom

```
data_TlTeOs2
_cell_length_a 3.1825
_cell_length_b 3.1825
_cell_length_c 25.3995
_cell_angle_alpha 90.00
_cell_angle_beta 90.00
_cell_angle_gamma 120.00
_space_group_name_H-M_alt 'R -3 m'
_space_group_IT_number 166
_space_group_name_Hall '-R 3 2"'
loop_
_atom_site_label
_atom_site_fract_x
_atom_site_fract_y
_atom_site_fract_z
Tl1 0.0000 0.0000 0.0000
Te1 0.0000 0.0000 0.5000
Os1 0.0000 0.0000 0.2441
```

Record 2
Density functional theory data (PBE) for TlTeOs2 after structural relaxation.

**ΔE_f (raw)**: 1082 meV per atom
**Spin magnetization**: 0.0 μB per formula unit
**E_tot**: -5.910 eV per atom

```
data_TlTeOs2
_cell_length_a 6.6226
_cell_length_b 6.6226
_cell_length_c 6.6226
_cell_angle_alpha 90.00
_cell_angle_beta 90.00
_cell_angle_gamma 90.00
_space_group_name_H-M_alt 'F m -3 m'
_space_group_IT_number 225
_space_group_name_Hall '-F 4 2 3'
loop_
_atom_site_label
_atom_site_fract_x
_atom_site_fract_y
_atom_site_fract_z
Tl1 0.0000 0.0000 0.0000
Te1 0.0000 0.0000 0.5000
Os1 0.2500 0.2500 0.2500
```

Record 3
Density functional theory data (PBE) for Tl2TeOs after structural relaxation.

**ΔE_f (raw)**: 450 meV per atom
**Spin magnetization**: 0.0 μB per formula unit
**E_tot**: -4.326 eV per atom

```
data_Tl2TeOs
_cell_length_a 3.2372
_cell_length_b 4.7027
_cell_length_c 13.5320
_cell_angle_alpha 90.00
_cell_angle_beta 90.00
_cell_angle_gamma 90.00
_space_group_name_H-M_alt 'I m m 2'
_space_group_IT_number 44
_space_group_name_Hall 'I 2 -2'
loop_
_atom_site_label
_atom_site_fract_x
_atom_site_fract_y
_atom_site_fract_z
Tl1 0.0000 0.0000 0.0000
Tl2 0.0000 0.5000 0.1800
Te1 0.0000 0.5000 0.8212
Os1 0.0000 0.0000 0.4763
```

Record 4
Density functional theory data (PBE) for TlTeOs2 after structural relaxation.

**ΔE_f (raw)**: 731 meV per atom
**Spin magnetization**: 0.0 μB per formula unit
**E_tot**: -6.261 eV per atom

```
data_TlTeOs2
_cell_length_a 3.0108
_cell_length_b 3.0108
_cell_length_c 31.8753
_cell_angle_alpha 90.00
_cell_angle_beta 90.00
_cell_angle_gamma 120.00
_space_group_name_H-M_alt 'R 3 m'
_space_group_IT_number 160
_space_group_name_Hall 'R 3 -2"'
loop_
_atom_site_label
_atom_site_fract_x
_atom_site_fract_y
_atom_site_fract_z
Tl1 0.0000 0.0000 0.0000
Te1 0.0000 0.0000 0.2131
Os1 0.0000 0.0000 0.4755
Os2 0.0000 0.0000 0.7471
```

Record 5
Density functional theory data (PBE) for TlTe3Os after structural relaxation.

**ΔE_f (raw)**: 480 meV per atom
**Spin magnetization**: 0.0 μB per formula unit
**E_tot**: -4.125 eV per atom

```
data_TlTe3Os
_cell_length_a 5.3456
_cell_length_b 5.3456
_cell_length_c 5.3456
_cell_angle_alpha 90.00
_cell_angle_beta 90.00
_cell_angle_gamma 90.00
_space_group_name_H-M_alt 'P m -3 m'
_space_group_IT_number 221
_space_group_name_Hall '-P 4 2 3'
loop_
_atom_site_label
_atom_site_fract_x
_atom_site_fract_y
_atom_site_fract_z
Tl1 0.0000 0.0000 0.0000
Te1 0.0000 0.5000 0.5000
Os1 0.5000 0.5000 0.5000
```

Record 6
Density functional theory data (PBE) for TlTeOs2 after structural relaxation.

**ΔE_f (raw)**: 968 meV per atom
**Spin magnetization**: 0.0 μB per formula unit
**E_tot**: -6.024 eV per atom

```
data_TlTeOs2
_cell_length_a 3.0349
_cell_length_b 4.6395
_cell_length_c 11.3320
_cell_angle_alpha 90.00
_cell_angle_beta 90.00
_cell_angle_gamma 90.00
_space_group_name_H-M_alt 'I m m 2'
_space_group_IT_number 44
_space_group_name_Hall 'I 2 -2'
loop_
_atom_site_label
_atom_site_fract_x
_atom_site_fract_y
_atom_site_fract_z
Tl1 0.0000 0.0000 0.0000
Te1 0.0000 0.5000 0.2132
Os1 0.0000 0.0000 0.4869
Os2 0.0000 0.5000 0.7985
```

Record 7
Density functional theory data (PBE) for TlTeOs after structural relaxation.

**ΔE_f (raw)**: 869 meV per atom
**Spin magnetization**: 0.0 μB per formula unit
**E_tot**: -4.710 eV per atom

```
data_TlTeOs
_cell_length_a 4.6774
_cell_length_b 4.6774
_cell_length_c 3.5023
_cell_angle_alpha 90.00
_cell_angle_beta 90.00
_cell_angle_gamma 120.00
_space_group_name_H-M_alt 'P -6 m 2'
_space_group_IT_number 187
_space_group_name_Hall 'P -6 2'
loop_
_atom_site_label
_atom_site_fract_x
_atom_site_fract_y
_atom_site_fract_z
Tl1 0.0000 0.0000 0.0000
Te1 0.6667 0.3333 0.5000
Os1 0.3333 0.6667 0.5000
```

Record 8
Density functional theory data (PBE) for Tl2TeOs after structural relaxation.

**ΔE_f (raw)**: 499 meV per atom
**Spin magnetization**: 0.0 μB per formula unit
**E_tot**: -4.277 eV per atom

```
data_Tl2TeOs
_cell_length_a 3.3332
_cell_length_b 3.7642
_cell_length_c 8.5299
_cell_angle_alpha 90.00
_cell_angle_beta 100.83
_cell_angle_gamma 90.00
_space_group_name_H-M_alt 'P 1 m 1'
_space_group_IT_number 6
_space_group_name_Hall 'P -2y'
loop_
_atom_site_label
_atom_site_fract_x
_atom_site_fract_y
_atom_site_fract_z
Tl1 0.0000 0.0000 0.0000
Tl2 0.3602 0.5000 0.7191
Te1 0.6856 0.0000 0.3775
Os1 0.5828 0.5000 0.1711
```

Record 9
Density functional theory data (PBE) for Tl2TeOs after structural relaxation.

**ΔE_f (raw)**: 423 meV per atom
**Spin magnetization**: 0.0 μB per formula unit
**E_tot**: -4.353 eV per atom

```
data_Tl2TeOs
_cell_length_a 3.4973
_cell_length_b 3.4973
_cell_length_c 31.1241
_cell_angle_alpha 90.00
_cell_angle_beta 90.00
_cell_angle_gamma 120.00
_space_group_name_H-M_alt 'R 3 m'
_space_group_IT_number 160
_space_group_name_Hall 'R 3 -2"'
loop_
_atom_site_label
_atom_site_fract_x
_atom_site_fract_y
_atom_site_fract_z
Tl1 0.0000 0.0000 0.0000
Tl2 0.0000 0.0000 0.2451
Te1 0.0000 0.0000 0.7900
Os1 0.0000 0.0000 0.5088
```

Record 10
Density functional theory data (PBE) for TlTeOs2 after structural relaxation.

**ΔE_f (raw)**: 609 meV per atom
**Spin magnetization**: 0.0 μB per formula unit
**E_tot**: -6.383 eV per atom

```
data_TlTeOs2
_cell_length_a 2.9773
_cell_length_b 2.9773
_cell_length_c 9.5327
_cell_angle_alpha 90.00
_cell_angle_beta 90.00
_cell_angle_gamma 90.00
_space_group_name_H-M_alt 'P 4 m m'
_space_group_IT_number 99
_space_group_name_Hall 'P 4 -2'
loop_
_atom_site_label
_atom_site_fract_x
_atom_site_fract_y
_atom_site_fract_z
Tl1 0.0000 0.0000 0.0000
Te1 0.5000 0.5000 0.6359
Os1 0.0000 0.0000 0.4118
Os2 0.5000 0.5000 0.2504
```

Record 11
Density functional theory data (PBE) for Tl2TeOs after structural relaxation.

**ΔE_f (raw)**: 1117 meV per atom
**Spin magnetization**: 0.0 μB per formula unit
**E_tot**: -3.659 eV per atom

```
data_Tl2TeOs
_cell_length_a 7.2041
_cell_length_b 7.2041
_cell_length_c 7.2041
_cell_angle_alpha 90.00
_cell_angle_beta 90.00
_cell_angle_gamma 90.00
_space_group_name_H-M_alt 'F m -3 m'
_space_group_IT_number 225
_space_group_name_Hall '-F 4 2 3'
loop_
_atom_site_label
_atom_site_fract_x
_atom_site_fract_y
_atom_site_fract_z
Tl1 0.2500 0.2500 0.2500
Te1 0.0000 0.0000 0.0000
Os1 0.0000 0.0000 0.5000
```

Record 12
Density functional theory data (PBE) for TlTeOs4 after structural relaxation.

**ΔE_f (raw)**: 1101 meV per atom
**Spin magnetization**: 0.0 μB per formula unit
**E_tot**: -7.304 eV per atom

```
data_TlTeOs4
_cell_length_a 7.5486
_cell_length_b 7.5486
_cell_length_c 7.5486
_cell_angle_alpha 90.00
_cell_angle_beta 90.00
_cell_angle_gamma 90.00
_space_group_name_H-M_alt 'F -4 3 m'
_space_group_IT_number 216
_space_group_name_Hall 'F -4 2 3'
loop_
_atom_site_label
_atom_site_fract_x
_atom_site_fract_y
_atom_site_fract_z
Tl1 0.0000 0.0000 0.0000
Te1 0.2500 0.2500 0.2500
Os1 0.1247 0.1247 0.6247
```

Record 13
Density functional theory data (PBE) for Tl2TeOs after structural relaxation.

**ΔE_f (raw)**: 955 meV per atom
**Spin magnetization**: 1.7 μB per formula unit
**E_tot**: -3.821 eV per atom

```
data_Tl2TeOs
_cell_length_a 6.1772
_cell_length_b 10.2402
_cell_length_c 3.0851
_cell_angle_alpha 90.00
_cell_angle_beta 90.15
_cell_angle_gamma 90.00
_space_group_name_H-M_alt 'C 1 2/m 1'
_space_group_IT_number 12
_space_group_name_Hall '-C 2y'
loop_
_atom_site_label
_atom_site_fract_x
_atom_site_fract_y
_atom_site_fract_z
Tl1 0.2500 0.2500 0.0000
Te1 0.0000 0.0000 0.5000
Os1 0.0000 0.5000 0.5000
```

Record 14
Density functional theory data (PBE) for TlTeOs after structural relaxation.

**ΔE_f (raw)**: 484 meV per atom
**Spin magnetization**: 0.0 μB per formula unit
**E_tot**: -5.095 eV per atom

```
data_TlTeOs
_cell_length_a 3.2181
_cell_length_b 3.2181
_cell_length_c 14.3214
_cell_angle_alpha 90.00
_cell_angle_beta 90.00
_cell_angle_gamma 90.00
_space_group_name_H-M_alt 'I 4 m m'
_space_group_IT_number 107
_space_group_name_Hall 'I 4 -2'
loop_
_atom_site_label
_atom_site_fract_x
_atom_site_fract_y
_atom_site_fract_z
Tl1 0.0000 0.0000 0.0000
Te1 0.0000 0.0000 0.7401
Os1 0.0000 0.0000 0.3377
```

Record 15
Density functional theory data (PBE) for TlTeOs2 after structural relaxation.

**ΔE_f (raw)**: 664 meV per atom
**Spin magnetization**: 0.0 μB per formula unit
**E_tot**: -6.327 eV per atom

```
data_TlTeOs2
_cell_length_a 2.9155
_cell_length_b 3.8272
_cell_length_c 7.9472
_cell_angle_alpha 90.00
_cell_angle_beta 90.00
_cell_angle_gamma 90.00
_space_group_name_H-M_alt 'P m m 2'
_space_group_IT_number 25
_space_group_name_Hall 'P 2 -2'
loop_
_atom_site_label
_atom_site_fract_x
_atom_site_fract_y
_atom_site_fract_z
Tl1 0.0000 0.0000 0.0000
Te1 0.5000 0.5000 0.6043
Os1 0.0000 0.0000 0.3949
Os2 0.5000 0.5000 0.2584
```

Record 16
Density functional theory data (PBE) for TlTeOs2 after structural relaxation.

**ΔE_f (raw)**: 1357 meV per atom
**Spin magnetization**: 0.0 μB per formula unit
**E_tot**: -5.635 eV per atom

```
data_TlTeOs2
_cell_length_a 6.7186
_cell_length_b 6.7186
_cell_length_c 6.7186
_cell_angle_alpha 90.00
_cell_angle_beta 90.00
_cell_angle_gamma 90.00
_space_group_name_H-M_alt 'F -4 3 m'
_space_group_IT_number 216
_space_group_name_Hall 'F -4 2 3'
loop_
_atom_site_label
_atom_site_fract_x
_atom_site_fract_y
_atom_site_fract_z
Tl1 0.0000 0.0000 0.0000
Te1 0.2500 0.2500 0.2500
Os1 0.0000 0.0000 0.5000
Os2 0.2500 0.2500 0.7500
```

Record 17
Density functional theory data (PBE) for Tl2TeOs after structural relaxation.

**ΔE_f (raw)**: 930 meV per atom
**Spin magnetization**: 1.2 μB per formula unit
**E_tot**: -3.846 eV per atom

```
data_Tl2TeOs
_cell_length_a 4.9202
_cell_length_b 3.3885
_cell_length_c 5.7746
_cell_angle_alpha 90.00
_cell_angle_beta 91.13
_cell_angle_gamma 90.00
_space_group_name_H-M_alt 'P 1 2/m 1'
_space_group_IT_number 10
_space_group_name_Hall '-P 2y'
loop_
_atom_site_label
_atom_site_fract_x
_atom_site_fract_y
_atom_site_fract_z
Tl1 0.0000 0.0000 0.0000
Tl2 0.5000 0.5000 0.0000
Te1 0.0000 0.5000 0.5000
Os1 0.5000 0.0000 0.5000
```

Record 18
Density functional theory data (PBE) for TlTeOs2 after structural relaxation.

**ΔE_f (raw)**: 934 meV per atom
**Spin magnetization**: 0.0 μB per formula unit
**E_tot**: -6.058 eV per atom

```
data_TlTeOs2
_cell_length_a 8.8291
_cell_length_b 3.0977
_cell_length_c 5.9068
_cell_angle_alpha 90.00
_cell_angle_beta 104.85
_cell_angle_gamma 90.00
_space_group_name_H-M_alt 'C 1 2/m 1'
_space_group_IT_number 12
_space_group_name_Hall '-C 2y'
loop_
_atom_site_label
_atom_site_fract_x
_atom_site_fract_y
_atom_site_fract_z
Tl1 0.0000 0.0000 0.0000
Te1 0.0000 0.5000 0.5000
Os1 0.2430 0.5000 0.3036
```

Record 19
Density functional theory data (PBE) for Tl2TeOs after structural relaxation.

**ΔE_f (raw)**: 780 meV per atom
**Spin magnetization**: 0.1 μB per formula unit
**E_tot**: -3.996 eV per atom

```
data_Tl2TeOs
_cell_length_a 2.9699
_cell_length_b 2.9699
_cell_length_c 12.2115
_cell_angle_alpha 90.00
_cell_angle_beta 90.00
_cell_angle_gamma 90.00
_space_group_name_H-M_alt 'P 4/m m m'
_space_group_IT_number 123
_space_group_name_Hall '-P 4 2'
loop_
_atom_site_label
_atom_site_fract_x
_atom_site_fract_y
_atom_site_fract_z
Tl1 0.0000 0.0000 0.1886
Te1 0.5000 0.5000 0.5000
Os1 0.5000 0.5000 0.0000
```

Record 20
Density functional theory data (PBE) for TlTeOs after structural relaxation.

**ΔE_f (raw)**: 542 meV per atom
**Spin magnetization**: 0.0 μB per formula unit
**E_tot**: -5.037 eV per atom

```
data_TlTeOs
_cell_length_a 3.7464
_cell_length_b 3.7464
_cell_length_c 6.1930
_cell_angle_alpha 90.00
_cell_angle_beta 90.00
_cell_angle_gamma 120.00
_space_group_name_H-M_alt 'P 3 m 1'
_space_group_IT_number 156
_space_group_name_Hall 'P 3 -2"'
loop_
_atom_site_label
_atom_site_fract_x
_atom_site_fract_y
_atom_site_fract_z
Tl1 0.0000 0.0000 0.0000
Te1 0.3333 0.6667 0.5378
Os1 0.6667 0.3333 0.3117
```